# 1
# Zr4FeAu

A relaxed structure of Zr4FeAu (PBE, the Alexandria database).

Cell: 5.6277 5.6277 5.6277 Å, 60.00 60.00 60.00°
Closest atoms and distances in Å follow each position.
Atoms (fractional coordinates):
Zr1 0.8763 0.3746 0.3746  6 Zr 2.80-2.82
Zr2 0.3746 0.3746 0.8763  6 Zr 2.80-2.82
Zr3 0.3746 0.8763 0.3746  6 Zr 2.80-2.82
Zr4 0.3746 0.3746 0.3746  6 Zr 2.80-2.82
Fe1 0.0000 0.0000 0.0000  12 Zr 3.30, 4 Au 3.45
Au1 0.7500 0.7500 0.7500  12 Zr 3.30, 4 Fe 3.45

Summary:
Energy relative to the elements, eV per atom: 0.455
Excess energy over the best structure of this formula in the dataset, eV/f.u.: 4.34



# 2
# K6Au3Br

A relaxed structure of K6Au3Br (PBE, the Alexandria database).

Cell: 5.7245 9.7667 13.7137 Å, 90.00 89.97 90.00°
Closest atoms and distances in Å follow each position.
Atoms (fractional coordinates):
K1 0.4998 0.1761 0.9049  3 Au 3.42-3.64, 2 Br 3.58-3.59
K2 0.4998 0.1682 0.5655  1 Br 3.36, 4 Au 3.42-3.55, 1 K 3.74
K3 0.4999 0.4781 0.2473  4 Au 3.35-3.42, 1 Br 3.47
K4 0.5001 0.5219 0.7527  4 Au 3.35-3.42, 1 Br 3.47
K5 0.5002 0.8318 0.4345  1 Br 3.36, 4 Au 3.42-3.55, 1 K 3.74
K6 0.5002 0.8239 0.0951  3 Au 3.42-3.64, 2 Br 3.58-3.59
K7 0.9998 0.3239 0.4049  3 Au 3.42-3.64, 2 Br 3.58-3.59
K8 0.9998 0.3318 0.0655  1 Br 3.36, 4 Au 3.42-3.55, 1 K 3.74
K9 0.9999 0.0219 0.7473  4 Au 3.35-3.42, 1 Br 3.47
K10 0.0001 0.9781 0.2527  4 Au 3.35-3.42, 1 Br 3.47
K11 0.0002 0.6682 0.9345  1 Br 3.36, 4 Au 3.42-3.55, 1 K 3.74
K12 0.0002 0.6761 0.5951  3 Au 3.42-3.64, 2 Br 3.58-3.59
Au1 0.4998 0.8621 0.6923  7 K 3.35-3.64
Au2 0.5000 0.5000 0.0000  8 K 3.40-3.42
Au3 0.5002 0.1379 0.3077  7 K 3.35-3.64
Au4 0.9998 0.6379 0.1923  7 K 3.35-3.64
Au5 0.0000 0.0000 0.5000  8 K 3.40-3.42
Au6 0.0002 0.3621 0.8077  7 K 3.35-3.64
Br1 0.5000 0.5000 0.5000  8 K 3.36-3.59
Br2 0.0000 0.0000 0.0000  8 K 3.36-3.59

Summary:
ΔE_f (raw), meV per atom: -483



# 3
# TiZnS2

A relaxed structure of TiZnS2 (PBE, the Alexandria database).

Cell: 7.9423 7.9423 7.9423 Å, 24.55 24.55 24.55°
Closest atoms and distances in Å follow each position.
Atoms (fractional coordinates):
Zn1 0.0000 0.0000 0.0000  2 S 2.39
S1 0.8964 0.8964 0.8964  1 Zn 2.39, 3 Ti 2.43
S2 0.1036 0.1036 0.1036  1 Zn 2.39, 3 Ti 2.43
Ti1 0.5000 0.5000 0.5000  6 S 2.43

Summary:
ΔE_f (raw), meV per atom: -875
Excess energy over the best structure of this formula in the dataset, eV/f.u.: 0.00



# 4
# VCoPS2

A relaxed structure of VCoPS2 (PBE, the Alexandria database).

Cell: 4.4940 4.4940 4.5839 Å, 90.00 90.00 90.00°
Closest atoms and distances in Å follow each position.
Atoms (fractional coordinates):
P1 0.0000 0.0000 0.5000  2 V 2.29
S1 0.0000 0.5000 0.0000  2 V 2.25
S2 0.5000 0.0000 0.0000  2 V 2.25
Co1 0.5000 0.5000 0.5000  4 P 3.18, 8 S 3.21
V1 0.0000 0.0000 0.0000  4 S 2.25, 2 P 2.29

Summary:
ΔE_f (raw), meV per atom: 540
Excess energy over the best structure of this formula in the dataset, eV/f.u.: 0.00



The E_tot results, record by record, are as follows: -7.20, -2.29, -5.23, -5.44 eV per atom.